A plane-wave DFT calculation with meta-GGA SCAN was carried out for a PBEsol-optimized structure of LaZr2.

Excess energy over the best structure of this formula in the dataset: 0.0000 eV per atom
DOS(E_F): 1.363 states/eV per atom
DFT formation energy: 0.1767 eV per atom
SG: P-6m2 (187)
E: -2.5473 Ry/atom
Spin magnetization: 0.00 μB/f.u.

The structure in POSCAR format:
```
LaZr2
1.0
-1.920 -2.633 0.091
1.308 1.159 2.752
-13.089 9.623 2.170
Zr La
4 2
direct
0.333 0.667 0.348 Zr
0.333 0.667 0.000 Zr
0.000 0.000 0.500 Zr
0.333 0.667 0.652 Zr
0.000 0.000 0.829 La
0.000 0.000 0.171 La
```


A plane-wave DFT calculation with meta-GGA SCAN was carried out for a PBEsol-optimized structure of LaZr2.

Excess energy over the best structure of this formula in the dataset: 0.0154 eV per atom
DOS(E_F): 1.439 states/eV per atom
DFT formation energy: 0.1922 eV per atom
SG: R32 (155)
E: -2.5461 Ry/atom
Spin magnetization: 0.00 μB/f.u.

The structure in POSCAR format:
```
LaZr2
1.0
-5.637 -0.966 -0.155
-2.286 -4.121 3.244
-3.357 1.844 5.021
La Zr
2 4
direct
0.851 0.851 0.447 La
0.149 0.149 0.553 La
0.500 0.500 0.500 Zr
0.000 0.384 0.000 Zr
0.616 0.000 0.000 Zr
0.384 0.616 0.000 Zr
```


A plane-wave DFT calculation with meta-GGA SCAN was carried out for a PBEsol-optimized structure of LaZr.

Excess energy over the best structure of this formula in the dataset: 0.1478 eV per atom
DOS(E_F): 2.140 states/eV per atom
DFT formation energy: 0.3091 eV per atom
SG: Fd-3m (227)
E: -2.6895 Ry/atom
Spin magnetization: 0.00 μB/f.u.

The structure in POSCAR format:
```
LaZr
1.0
-5.163 0.783 0.983
-3.577 -3.612 -1.548
-2.498 -2.985 3.618
La Zr
2 2
direct
0.750 0.750 0.750 La
0.500 0.500 0.500 La
0.250 0.250 0.250 Zr
0.000 0.000 0.000 Zr
```


A plane-wave DFT calculation with meta-GGA SCAN was carried out for a PBEsol-optimized structure of LaZr3.

DOS(E_F): 2.051 states/eV per atom
DFT formation energy: 2.0253 eV per atom
SG: Pm-3m (221)
E: -2.3354 Ry/atom
Spin magnetization: 0.00 μB/f.u.

The structure in POSCAR format:
```
LaZr3
1.0
5.155 0.000 0.000
0.000 5.155 0.000
0.000 0.000 5.155
Zr La
3 1
direct
0.000 0.000 0.500 Zr
0.500 0.000 0.000 Zr
0.000 0.500 0.000 Zr
0.000 0.000 0.000 La
```